# 1
DFT (PBEsol) results for a relaxed structure of TcBF2.

Calculated values
Total magnetic moment: 0.9 μB per formula unit
E: -5.88 eV per atom
Crystal system: trigonal

a = 10.161 Å, b = 10.161 Å, c = 10.161 Å
α = 14.43°, β = 14.43°, γ = 14.43°
Fractional coordinates of all 4 atoms:
1 Tc 0.000 0.000 0.000
2 B 0.500 0.500 0.500
3 F 0.456 0.456 0.456
4 F 0.544 0.544 0.544

# 2
DFT (PBEsol) results for a relaxed structure of CoPt2Se.

Calculated values
Total magnetic moment: 1.2 μB per formula unit
E: -6.21 eV per atom
Crystal system: orthorhombic

a = 3.859 Å, b = 5.092 Å, c = 5.092 Å
α = 35.20°, β = 90.00°, γ = 90.00°
Fractional coordinates of all 4 atoms:
1 Co 0.000 0.000 0.000
2 Pt 0.000 0.737 0.737
3 Pt 0.500 0.386 0.386
4 Se 0.500 0.122 0.122

Q: Which value of total magnetic moment does entry 2 give?
A: 1.2 μB per formula unit

Q: Which of these has the highest total magnetic moment?
A: CoPt2Se